Sm4As6Rh7 after structural relaxation. Source: Alexandria via LeMat-Bulk, functional PBE.

Computed properties:
- Total DFT energy (no corrections): -6.76 eV per atom
- ΔH_f (0 K): -0.980 eV per atom
- D(E_F): 7.2 states/eV per cell
- Total moment: 0.000 μB per formula unit

a b c (Å): 7.3624 7.3624 7.3624
angles (deg): 109.47 109.47 109.47
With the nearest neighbours (Å) after each atom.
Positions (direct):
1 Sm 0.0000 0.0000 0.5000  6 Rh 3.01, 6 As 3.07
2 Sm 0.0000 0.5000 0.0000  6 Rh 3.01, 6 As 3.07
3 Sm 0.5000 0.0000 0.0000  6 Rh 3.01, 6 As 3.07
4 Sm 0.5000 0.5000 0.5000  6 Rh 3.01, 6 As 3.07
5 As 0.0000 0.3216 0.3216  5 Rh 2.61-2.73
6 As 0.0000 0.6784 0.6784  5 Rh 2.61-2.73
7 As 0.3216 0.0000 0.3216  5 Rh 2.61-2.73
8 As 0.3216 0.3216 0.0000  5 Rh 2.61-2.73
9 As 0.6784 0.0000 0.6784  5 Rh 2.61-2.73
10 As 0.6784 0.6784 0.0000  5 Rh 2.61-2.73
11 Rh 0.0000 0.0000 0.0000  6 As 2.73
12 Rh 0.2500 0.5000 0.7500  4 As 2.61
13 Rh 0.2500 0.7500 0.5000  4 As 2.61
14 Rh 0.5000 0.2500 0.7500  4 As 2.61
15 Rh 0.5000 0.7500 0.2500  4 As 2.61
16 Rh 0.7500 0.2500 0.5000  4 As 2.61
17 Rh 0.7500 0.5000 0.2500  4 As 2.61